# AlAu5 | the Alexandria database | meta-GGA SCAN | PBEsol geometry
data_AlAu5
_space_group_name_H-M_alt 'P 1'
_space_group_IT_number 1
_cell_length_a 3.4867
_cell_length_b 5.1538
_cell_length_c 6.2463
_cell_angle_alpha 108.50
_cell_angle_beta 90.00
_cell_angle_gamma 109.77
loop_
_space_group_symop_operation_xyz
'x,y,z'
loop_
_atom_site_label
_atom_site_fract_x
_atom_site_fract_y
_atom_site_fract_z
Au1 0.6930 0.3859 0.3729
Au2 0.3626 0.7252 0.7383
Au3 0.3750 0.7499 0.2099
Au4 0.0278 0.0555 0.5555
Au5 0.6806 0.3612 0.9012
Al1 0.0278 0.0556 0.0556
# ΔH_f (0 K) in eV per formula unit: -1.30
# Energy relative to the lowest polymorph listed for this composition in meV per atom: 0
# DOS at the Fermi energy in states/eV/atom: 0.2689
# Raw total energy in eV per formula unit: -354.84